Arrangement 1

First-principles (PBE) data for a relaxed structure of Be5P, as listed in the Alexandria database.

Total moment = 0.00 μB/f.u.

Unit cell a=3.9501 b=3.9501 c=4.1639 alpha=90.00 beta=90.00 gamma=120.00
Last column: nearest neighbours and their distance in Å.
Fractional positions:
Be 0.3333 0.6667 0.5000  3 P 2.28, 9 Be 2.28-2.47
Be 0.3299 0.3299 0.0000  10 Be 2.26-2.47, 2 P 2.46
Be 0.0000 0.6701 0.0000  10 Be 2.26-2.47, 2 P 2.46
P 0.0000 0.0000 0.5000  12 Be 2.28-2.46
Be 0.6667 0.3333 0.5000  3 P 2.28, 9 Be 2.28-2.47
Be 0.6701 0.0000 0.0000  10 Be 2.26-2.47, 2 P 2.46


Arrangement 2

First-principles (PBE) data for a relaxed structure of Be5P, as listed in the Alexandria database.

Total moment = 0.00 μB/f.u.

Unit cell a=2.3873 b=2.3873 c=9.7146 alpha=90.00 beta=90.00 gamma=90.00
Last column: nearest neighbours and their distance in Å.
Fractional positions:
Be 0.0000 0.0000 0.5000  12 Be 2.22-2.39
P 0.5000 0.5000 0.0000  4 P 2.39, 8 Be 2.62
Be 0.5000 0.5000 0.6483  12 Be 2.20-2.39
Be 0.5000 0.5000 0.3517  12 Be 2.20-2.39
Be 0.0000 0.0000 0.7934  8 Be 2.20-2.39
Be 0.0000 0.0000 0.2066  8 Be 2.20-2.39


Most stable structure: arrangement 2


Arrangement 1

First-principles (PBE) data for a relaxed structure of Be5P, as listed in the Alexandria database.

Total moment = 0.00 μB/f.u.

Unit cell a=5.3686 b=5.3686 c=3.2729 alpha=90.00 beta=90.00 gamma=144.10
Last column: nearest neighbours and their distance in Å.
Fractional positions:
Be 0.8256 0.1744 0.0000  10 Be 2.23-2.42, 2 P 2.43
P 0.5000 0.5000 0.0000  12 Be 2.33-2.44
Be 0.1744 0.8256 0.0000  10 Be 2.23-2.42, 2 P 2.43
Be 0.6776 0.3224 0.5000  10 Be 2.22-2.46, 2 P 2.44
Be 0.3224 0.6776 0.5000  10 Be 2.22-2.46, 2 P 2.44
Be 0.0000 0.0000 0.5000  4 P 2.33, 8 Be 2.42-2.46


Arrangement 2

First-principles (PBE) data for a relaxed structure of Be5P, as listed in the Alexandria database.

Total moment = 0.00 μB/f.u.

Unit cell a=6.9945 b=6.9945 c=3.5152 alpha=90.00 beta=90.00 gamma=160.43
Last column: nearest neighbours and their distance in Å.
Fractional positions:
Be 0.8069 0.1931 0.5000  10 Be 2.15-2.38
P 0.0937 0.9063 0.5000  2 P 2.38, 8 Be 2.44-2.54
Be 0.3319 0.6681 0.0000  12 Be 2.15-2.38
Be 0.6949 0.3051 0.0000  6 Be 2.23-2.38
Be 0.9666 0.0334 0.0000  8 Be 2.15-2.38
Be 0.4393 0.5607 0.5000  10 Be 2.15-2.38


Most stable structure: arrangement 1


Arrangement 1

First-principles (PBE) data for a relaxed structure of BeP, as listed in the Alexandria database.

Total moment = 0.00 μB/f.u.

Unit cell a=3.4316 b=3.4316 c=2.4933 alpha=90.00 beta=90.00 gamma=120.00
Last column: nearest neighbours and their distance in Å.
Fractional positions:
P 0.6667 0.3333 0.5000  6 Be 2.34, 2 P 2.49
Be 0.0000 0.0000 0.0000  6 P 2.34, 2 Be 2.49


Arrangement 2

First-principles (PBE) data for a relaxed structure of BeP, as listed in the Alexandria database.

Total moment = 0.00 μB/f.u.

Unit cell a=3.6209 b=5.0673 c=6.2173 alpha=90.00 beta=90.00 gamma=90.00
Last column: nearest neighbours and their distance in Å.
Fractional positions:
P 0.7500 0.1750 0.7864  3 Be 2.13-2.14
Be 0.7500 0.2144 0.1278  3 P 2.13-2.14
Be 0.2500 0.2856 0.6278  3 P 2.13-2.14
Be 0.2500 0.7856 0.8722  3 P 2.13-2.14
P 0.7500 0.6750 0.7136  3 Be 2.13-2.14
Be 0.7500 0.7144 0.3722  3 P 2.13-2.14
P 0.2500 0.3250 0.2864  3 Be 2.13-2.14
P 0.2500 0.8250 0.2136  3 Be 2.13-2.14


Most stable structure: arrangement 2


Arrangement 1

First-principles (PBE) data for a relaxed structure of BeP, as listed in the Alexandria database.

Total moment = 0.00 μB/f.u.

Unit cell a=3.6623 b=3.6910 c=5.1837 alpha=90.19 beta=110.54 gamma=119.67
Last column: nearest neighbours and their distance in Å.
Fractional positions:
P 0.3607 0.7870 0.6258  4 Be 2.16-2.27, 1 P 2.34
Be 0.4213 0.5276 0.0195  4 P 2.12-2.24
P 0.8004 0.2246 0.0806  4 Be 2.12-2.24, 1 P 2.34
Be 0.9391 0.0621 0.5069  4 P 2.16-2.27


Arrangement 2

First-principles (PBE) data for a relaxed structure of BeP, as listed in the Alexandria database.

Total moment = 0.00 μB/f.u.

Unit cell a=3.6690 b=3.6703 c=5.0428 alpha=88.20 beta=70.67 gamma=60.52
Last column: nearest neighbours and their distance in Å.
Fractional positions:
Be 0.5740 0.7486 0.8283  4 P 2.16-2.30, 1 Be 2.30
P 0.0283 0.9335 0.2738  4 Be 2.16-2.30, 1 P 2.27
Be 0.4260 0.2514 0.1717  4 P 2.16-2.30, 1 Be 2.30
P 0.9717 0.0665 0.7262  4 Be 2.16-2.30, 1 P 2.27


Most stable structure: arrangement 2


Arrangement 1

First-principles (PBE) data for a relaxed structure of BeP, as listed in the Alexandria database.

Total moment = 0.00 μB/f.u.

Unit cell a=4.4579 b=5.8324 c=4.5400 alpha=90.00 beta=109.27 gamma=90.00
Last column: nearest neighbours and their distance in Å.
Fractional positions:
Be 0.5000 0.0769 0.5000  4 P 2.16-2.26
Be 0.0000 0.6047 0.5000  4 P 2.13-2.22
P 0.2274 0.7795 0.2189  4 Be 2.13-2.26, 1 P 2.32
Be 0.5000 0.5769 0.0000  4 P 2.16-2.26
P 0.2274 0.2795 0.7189  4 Be 2.13-2.26, 1 P 2.32
P 0.7726 0.2795 0.2811  4 Be 2.13-2.26, 1 P 2.32
Be 0.0000 0.1047 0.0000  4 P 2.13-2.22
P 0.7726 0.7795 0.7811  4 Be 2.13-2.26, 1 P 2.32


Arrangement 2

First-principles (PBE) data for a relaxed structure of BeP, as listed in the Alexandria database.

Total moment = 0.00 μB/f.u.

Unit cell a=5.6609 b=5.6610 c=3.7808 alpha=90.00 beta=90.00 gamma=90.00
Last column: nearest neighbours and their distance in Å.
Fractional positions:
Be 0.7633 0.2367 0.0000  4 P 2.12-2.21
Be 0.2367 0.7633 0.0000  4 P 2.12-2.21
P 0.6423 0.3577 0.5000  4 Be 2.12-2.21, 1 P 2.28
P 0.3577 0.6423 0.5000  4 Be 2.12-2.21, 1 P 2.28
P 0.8577 0.8577 0.0000  4 Be 2.12-2.21, 1 P 2.28
Be 0.7367 0.7367 0.5000  4 P 2.12-2.21
Be 0.2633 0.2633 0.5000  4 P 2.12-2.21
P 0.1423 0.1423 0.0000  4 Be 2.12-2.21, 1 P 2.28


Arrangement 3

First-principles (PBE) data for a relaxed structure of BeP, as listed in the Alexandria database.

Total moment = 0.00 μB/f.u.

Unit cell a=7.5506 b=11.7101 c=6.7493 alpha=90.00 beta=90.00 gamma=90.00
Last column: nearest neighbours and their distance in Å.
Fractional positions:
Be 0.8260 0.5000 0.0000  4 P 2.16
P 0.0000 0.6461 0.0000  4 Be 2.16
P 0.5000 0.1461 0.0000  4 Be 2.16
P 0.0000 0.3539 0.0000  4 Be 2.16
Be 0.8260 0.0000 0.5000  4 P 2.16
P 0.7500 0.6039 0.2500  4 Be 2.16
P 0.2500 0.8961 0.7500  4 Be 2.16
Be 0.1740 0.5000 0.0000  4 P 2.16
P 0.5000 0.8539 0.0000  4 Be 2.16
P 0.5000 0.3539 0.5000  4 Be 2.16
Be 0.9240 0.7500 0.2500  4 P 2.16
Be 0.9240 0.2500 0.7500  4 P 2.16
Be 0.4240 0.7500 0.7500  4 P 2.16
Be 0.0760 0.7500 0.7500  4 P 2.16
Be 0.6740 0.5000 0.5000  4 P 2.16
Be 0.5760 0.7500 0.2500  4 P 2.16
P 0.5000 0.6461 0.5000  4 Be 2.16
P 0.7500 0.3961 0.7500  4 Be 2.16
P 0.0000 0.1461 0.5000  4 Be 2.16
P 0.2500 0.6039 0.7500  4 Be 2.16
Be 0.4240 0.2500 0.2500  4 P 2.16
P 0.7500 0.8961 0.2500  4 Be 2.16
Be 0.3260 0.5000 0.5000  4 P 2.16
Be 0.1740 0.0000 0.5000  4 P 2.16
P 0.7500 0.1039 0.7500  4 Be 2.16
Be 0.0760 0.2500 0.2500  4 P 2.16
P 0.2500 0.3961 0.2500  4 Be 2.16
Be 0.6740 0.0000 0.0000  4 P 2.16
P 0.2500 0.1039 0.2500  4 Be 2.16
Be 0.5760 0.2500 0.7500  4 P 2.16
P 0.0000 0.8539 0.5000  4 Be 2.16
Be 0.3260 0.0000 0.0000  4 P 2.16


Most stable structure: arrangement 1


Arrangement 1

First-principles (PBE) data for a relaxed structure of BeP, as listed in the Alexandria database.

Total moment = 0.00 μB/f.u.

Unit cell a=3.4392 b=6.1354 c=8.9875 alpha=90.00 beta=90.00 gamma=90.00
Last column: nearest neighbours and their distance in Å.
Fractional positions:
P 0.5000 0.4562 0.0000  4 Be 2.09-2.10
Be 0.0000 0.6527 0.0000  4 P 2.10-2.24
P 0.0000 0.5438 0.5000  4 Be 2.09-2.10
P 0.0000 0.9673 0.8742  4 Be 2.23-2.25, 1 P 2.26
Be 0.0000 0.8052 0.3502  4 P 2.09-2.25
Be 0.5000 0.1948 0.8502  4 P 2.09-2.25
P 0.0000 0.9673 0.1258  4 Be 2.23-2.25, 1 P 2.26
P 0.5000 0.0327 0.3742  4 Be 2.23-2.25, 1 P 2.26
Be 0.0000 0.8052 0.6498  4 P 2.09-2.25
P 0.5000 0.0327 0.6258  4 Be 2.23-2.25, 1 P 2.26
Be 0.5000 0.3473 0.5000  4 P 2.10-2.24
Be 0.5000 0.1948 0.1498  4 P 2.09-2.25


Arrangement 2

First-principles (PBE) data for a relaxed structure of BeP, as listed in the Alexandria database.

Total moment = 0.00 μB/f.u.

Unit cell a=3.2435 b=3.2435 c=3.2435 alpha=60.12 beta=60.12 gamma=60.12
Last column: nearest neighbours and their distance in Å.
Fractional positions:
Be 0.0000 0.0000 0.0000  6 P 2.30
P 0.5000 0.5000 0.5000  6 Be 2.30


Most stable structure: arrangement 1


Arrangement 1

First-principles (PBE) data for a relaxed structure of BeP, as listed in the Alexandria database.

Total moment = 0.00 μB/f.u.

Unit cell a=6.6739 b=6.6739 c=6.6739 alpha=90.00 beta=90.00 gamma=90.00
Last column: nearest neighbours and their distance in Å.
Fractional positions:
P 0.3209 0.6791 0.6791  4 Be 2.07-2.17
P 0.8209 0.8209 0.8209  4 Be 2.07-2.17
Be 0.8580 0.1420 0.8580  4 P 2.07-2.17
Be 0.6420 0.3580 0.3580  4 P 2.07-2.17
Be 0.1420 0.8580 0.8580  4 P 2.07-2.17
Be 0.6420 0.6420 0.6420  4 P 2.07-2.17
P 0.6791 0.3209 0.6791  4 Be 2.07-2.17
Be 0.8580 0.8580 0.1420  4 P 2.07-2.17
Be 0.3580 0.3580 0.6420  4 P 2.07-2.17
P 0.1791 0.1791 0.8209  4 Be 2.07-2.17
Be 0.3580 0.6420 0.3580  4 P 2.07-2.17
P 0.3209 0.3209 0.3209  4 Be 2.07-2.17
P 0.1791 0.8209 0.1791  4 Be 2.07-2.17
P 0.6791 0.6791 0.3209  4 Be 2.07-2.17
P 0.8209 0.1791 0.1791  4 Be 2.07-2.17
Be 0.1420 0.1420 0.1420  4 P 2.07-2.17


Arrangement 2

First-principles (PBE) data for a relaxed structure of BeP, as listed in the Alexandria database.

Total moment = 0.00 μB/f.u.

Unit cell a=3.6417 b=2.5876 c=5.8485 alpha=90.00 beta=90.00 gamma=90.00
Last column: nearest neighbours and their distance in Å.
Fractional positions:
Be 0.5000 0.5000 0.9031  4 P 2.14-2.22
Be 0.0000 0.0000 0.4031  4 P 2.14-2.22
P 0.5000 0.0000 0.2117  4 Be 2.14-2.22
P 0.0000 0.5000 0.7117  4 Be 2.14-2.22


Arrangement 3

First-principles (PBE) data for a relaxed structure of BeP, as listed in the Alexandria database.

Total moment = 0.00 μB/f.u.

Unit cell a=8.1941 b=8.1941 c=3.5688 alpha=90.00 beta=90.00 gamma=120.00
Last column: nearest neighbours and their distance in Å.
Fractional positions:
P 0.3773 0.0192 0.2500  4 Be 2.10-2.30
P 0.6419 0.6227 0.2500  4 Be 2.10-2.30
P 0.6227 0.9808 0.7500  4 Be 2.10-2.30
Be 0.4415 0.3020 0.2500  4 P 2.10-2.30
P 0.0192 0.6419 0.7500  4 Be 2.10-2.30
Be 0.3020 0.8606 0.7500  4 P 2.10-2.30
Be 0.8606 0.5585 0.2500  4 P 2.10-2.30
Be 0.6980 0.1394 0.2500  4 P 2.10-2.30
Be 0.1394 0.4415 0.7500  4 P 2.10-2.30
P 0.3581 0.3773 0.7500  4 Be 2.10-2.30
P 0.9808 0.3581 0.2500  4 Be 2.10-2.30
Be 0.5585 0.6980 0.7500  4 P 2.10-2.30


Most stable structure: arrangement 2


Arrangement 1

First-principles (PBE) data for a relaxed structure of BeP3Pb, as listed in the Alexandria database.

Total moment = 0.00 μB/f.u.

Unit cell a=4.4730 b=4.4730 c=4.4730 alpha=90.00 beta=90.00 gamma=90.00
Last column: nearest neighbours and their distance in Å.
Fractional positions:
Be 0.0000 0.0000 0.0000  6 P 2.24
P 0.0000 0.0000 0.5000  2 Be 2.24
Pb 0.5000 0.5000 0.5000  12 P 3.16
P 0.5000 0.0000 0.0000  2 Be 2.24
P 0.0000 0.5000 0.0000  2 Be 2.24


Arrangement 2

First-principles (PBE) data for a relaxed structure of BeP3Pb, as listed in the Alexandria database.

Total moment = 0.00 μB/f.u.

Unit cell a=5.1837 b=5.1837 c=5.1837 alpha=90.00 beta=90.00 gamma=90.00
Last column: nearest neighbours and their distance in Å.
Fractional positions:
Pb 0.0000 0.0000 0.0000  6 P 2.59
P 0.0000 0.5000 0.0000  2 Pb 2.59
P 0.0000 0.0000 0.5000  2 Pb 2.59
P 0.5000 0.0000 0.0000  2 Pb 2.59
Be 0.5000 0.5000 0.5000  12 P 3.67


Most stable structure: arrangement 1


Arrangement 1

First-principles (PBE) data for a relaxed structure of Be2P2Pb, as listed in the Alexandria database.

Total moment = 0.00 μB/f.u.

Unit cell a=7.5161 b=7.5161 c=3.1649 alpha=90.00 beta=90.00 gamma=90.00
Last column: nearest neighbours and their distance in Å.
Fractional positions:
Be 0.5985 0.9015 0.5000  1 Be 2.09, 4 P 2.30
P 0.8784 0.6216 0.0000  4 Be 2.30
P 0.6216 0.1216 0.0000  4 Be 2.30
Be 0.9015 0.4015 0.5000  1 Be 2.09, 4 P 2.30
Pb 0.0000 0.0000 0.0000  4 P 2.99, 2 Pb 3.16
P 0.3784 0.8784 0.0000  4 Be 2.30
P 0.1216 0.3784 0.0000  4 Be 2.30
Pb 0.5000 0.5000 0.0000  4 P 2.99, 2 Pb 3.16
Be 0.0985 0.5985 0.5000  1 Be 2.09, 4 P 2.30
Be 0.4015 0.0985 0.5000  1 Be 2.09, 4 P 2.30


Arrangement 2

First-principles (PBE) data for a relaxed structure of Be2P2Pb, as listed in the Alexandria database.

Total moment = 0.00 μB/f.u.

Unit cell a=3.6014 b=3.6014 c=6.9626 alpha=75.01 beta=75.01 gamma=90.00
Last column: nearest neighbours and their distance in Å.
Fractional positions:
Be 0.2500 0.7500 0.5000  4 P 2.22
Pb 0.0000 0.0000 0.0000  8 P 3.21
P 0.3496 0.3496 0.3008  4 Be 2.22
Be 0.7500 0.2500 0.5000  4 P 2.22
P 0.6504 0.6504 0.6992  4 Be 2.22


Most stable structure: arrangement 2


Arrangement 1

First-principles (PBE) data for a relaxed structure of Pm2BeP, as listed in the Alexandria database.

Total moment = 0.00 μB/f.u.

Unit cell a=4.0725 b=4.0725 c=7.3974 alpha=74.02 beta=74.02 gamma=60.00
Last column: nearest neighbours and their distance in Å.
Fractional positions:
P 0.0000 0.0000 0.0000  6 Pm 2.86
Pm 0.2562 0.2562 0.2313  3 P 2.86, 3 Be 3.01
Pm 0.7438 0.7438 0.7687  3 P 2.86, 3 Be 3.01
Be 0.5000 0.5000 0.5000  6 Pm 3.01


Arrangement 2

First-principles (PBE) data for a relaxed structure of Pm2BeP, as listed in the Alexandria database.

Total moment = 0.00 μB/f.u.

Unit cell a=3.6842 b=4.8514 c=4.8514 alpha=90.00 beta=90.00 gamma=90.00
Last column: nearest neighbours and their distance in Å.
Fractional positions:
Be 0.5000 0.0000 0.0000  8 Pm 3.05
Pm 0.0000 0.5000 0.0000  4 Be 3.05, 4 P 3.05
Pm 0.0000 0.0000 0.5000  4 P 3.05, 4 Be 3.05
P 0.5000 0.5000 0.5000  8 Pm 3.05


Arrangement 3

First-principles (PBE) data for a relaxed structure of Pm2BeP, as listed in the Alexandria database.

Total moment = 0.00 μB/f.u.

Unit cell a=4.9729 b=4.9729 c=4.9729 alpha=60.00 beta=60.00 gamma=60.00
Last column: nearest neighbours and their distance in Å.
Fractional positions:
Pm 0.7500 0.7500 0.7500  4 Be 3.05, 4 P 3.05
Pm 0.2500 0.2500 0.2500  4 Be 3.05, 4 P 3.05
Be 0.0000 0.0000 0.0000  8 Pm 3.05
P 0.5000 0.5000 0.5000  8 Pm 3.05


Most stable structure: arrangement 1